Compound: Cd2SbAu
Source: the Alexandria database
Functional: PBE-GGA
Structure: relaxed

abc: 3.5669 3.5669 25.8951
angles: 90.00 90.00 120.00
Last column: nearest neighbours and their distance in Å.
Space group R3m (No. 160, hexagonal axes)
Symmetry-distinct sites (fractional):
Cd 0.0000 0.0000 0.0000 x3  3 Cd 3.03, 3 Sb 3.20
Cd 0.0000 0.0000 0.2475 x3  3 Au 2.87, 3 Cd 3.03
Sb 0.0000 0.0000 0.7612 x3  3 Au 2.85
Au 0.0000 0.0000 0.5039 x3  3 Sb 2.85, 3 Cd 2.87

Properties
As for the total energy: -2.2820 eV/atom. Its density of states at the Fermi level is 0.460 states/eV per atom.

***

Compound: AlIn2Ag
Source: the Alexandria database
Functional: PBE-GGA
Structure: relaxed

abc: 9.1676 3.3730 5.8416
angles: 90.00 103.36 90.00
Last column: nearest neighbours and their distance in Å.
Space group C2/m (No. 12)
Symmetry-distinct sites (fractional):
Al 0.0000 0.0000 0.0000 x2  6 In 2.95-2.99
In 0.2495 0.0000 0.7489 x4  3 Ag 2.94-2.99, 3 Al 2.95-2.99
Ag 0.0000 0.5000 0.5000 x2  6 In 2.94-2.99

Properties
Its density of states at the Fermi level is 0.329 states/eV per atom. The calculation puts the formation energy from the elements at 0.11 eV per atom.

***

Compound: TbBeRu
Source: the Alexandria database
Functional: PBE-GGA
Structure: relaxed

abc: 5.2015 5.2987 7.1226
angles: 90.00 90.00 90.00
Last column: nearest neighbours and their distance in Å.
Space group Imma (No. 74)
Symmetry-distinct sites (fractional):
Tb 0.0000 0.2500 0.1296 x4  6 Ru 2.95-3.06, 6 Be 3.00-3.07, 4 Tb 3.12-3.23
Be 0.2500 0.2500 0.7500 x4  4 Ru 2.57, 2 Be 2.60
Ru 0.0000 0.0000 0.5000 x4  4 Be 2.57, 2 Ru 2.65

Properties
Its density of states at the Fermi level is 0.870 states/eV per atom. The calculation puts the formation energy from the elements at -0.24 eV per atom. As for the energy above the most stable polymorph in this dataset: 43 meV/atom.

***

Compound: Sr3Sn7Hg2
Source: the Alexandria database
Functional: PBE-GGA
Structure: relaxed

abc: 6.4364 6.4364 30.6667
angles: 90.00 90.00 120.00
Last column: nearest neighbours and their distance in Å.
Space group R-3m (No. 166, hexagonal axes)
Symmetry-distinct sites (fractional):
Sr 0.0000 0.0000 0.0000 x3  6 Hg 3.72, 12 Sn 4.11
Sr 0.0000 0.0000 0.1390 x6  12 Sn 3.64-3.86
Sn 0.0000 0.0000 0.5000 x3  6 Sn 3.17
Sn 0.0054 0.5027 0.9166 x18  2 Hg 3.14-3.19, 5 Sn 3.17-3.27
Hg 0.0000 0.0000 0.3351 x6  6 Sn 3.14-3.19

Properties
Its density of states at the Fermi level is 0.436 states/eV per atom. The calculation puts the formation energy from the elements at -0.34 eV per atom.

***

Compound: Ba6Li2N
Source: the Alexandria database
Functional: PBE-GGA
Structure: relaxed

abc: 14.8288 4.4522 14.0728
angles: 90.00 102.92 90.00
Last column: nearest neighbours and their distance in Å.
Space group C2/m (No. 12)
Symmetry-distinct sites (fractional):
Ba 0.0637 0.0000 0.3434 x4  1 N 2.58
Ba 0.1545 0.5000 0.0866 x4  3 Li 3.62-3.95
Ba 0.1629 0.0000 0.6066 x4  1 N 2.54
Li 0.1229 0.5000 0.8239 x4  7 Ba 3.62-3.95
N 0.0000 0.0000 0.5000 x2  4 Ba 2.54-2.58

Properties
As for the total energy: -2.5719 eV/atom. Its density of states at the Fermi level is 1.237 states/eV per atom.

***

Compound: Li2MgNi
Source: the Alexandria database
Functional: PBE-GGA
Structure: relaxed

abc: 3.8024 3.8024 4.1913
angles: 90.00 90.00 90.00
Last column: nearest neighbours and their distance in Å.
Space group P4/mmm (No. 123)
Symmetry-distinct sites (fractional):
Li 0.0000 0.5000 0.0000 x2  4 Li 2.69, 4 Ni 2.83, 4 Mg 2.83
Mg 0.0000 0.0000 0.5000 x1  4 Ni 2.69, 8 Li 2.83
Ni 0.5000 0.5000 0.5000 x1  4 Mg 2.69, 8 Li 2.83

Properties
Its density of states at the Fermi level is 0.474 states/eV per atom. The calculation puts the formation energy from the elements at 0.02 eV per atom.